A plane-wave DFT calculation with GGA-PBE was carried out for crystalline CsInRhBr2 at its relaxed geometry.

It has space group P4/mmm (No. 123), with a = 5.7240 Å, b = 5.7240 Å, c = 7.6477 Å, α = 90.00°, β = 90.00° and γ = 90.00°. The distinct sites, in fractional coordinates, are Cs at (0.0000, 0.0000, 0.0000), In at (0.0000, 0.0000, 0.5000), Rh at (0.5000, 0.5000, 0.0000) and Br at (0.0000, 0.5000, 0.5000).

The energy relative to the elements, uncorrected comes out at 0.40 eV per atom. Its density of states at the Fermi level is 3.276 states/eV/f.u.